## ZnCdHg3 (PBE)

Data for a geometry-optimized ZnCdHg3 structure.

It has space group P2_1/m (No. 11), with a = 8.640 Å, b = 3.294 Å, c = 8.859 Å, α = 90.00°, β = 110.32° and γ = 90.00°. The asymmetric unit holds Zn at (0.131, 0.250, 0.051), Cd at (0.241, 0.250, 0.597), Hg at (0.061, 0.750, 0.297), Hg at (0.331, 0.750, 0.925) and Hg at (0.429, 0.250, 0.317).

For the relative energy among the computed polymorphs, the calculation gives 0.0 meV per atom. The calculation puts the raw total energy at -5.8 eV/cell. For the formation energy, the calculation gives 44 meV per atom.

## AcTlTeO (PBE)

Data for a geometry-optimized AcTlTeO structure.

It has space group R3m (No. 160, hexagonal axes), with a = 4.1352 Å, b = 4.1352 Å, c = 25.3997 Å, α = 90.00°, β = 90.00° and γ = 120.00°. The asymmetric unit holds Ac at (0.0000, 0.0000, 0.0000), Tl at (0.0000, 0.0000, 0.8469), Te at (0.0000, 0.0000, 0.4343) and O at (0.0000, 0.0000, 0.3081).

The calculation puts the uncorrected formation energy at -1.61 eV/atom. The calculation puts the raw total energy at -63.0 eV/cell.

## La2Pr3Sn (PBE)

Data for a geometry-optimized La2Pr3Sn structure.

It has space group P2_1/m (No. 11), with a = 7.427 Å, b = 4.893 Å, c = 10.974 Å, α = 90.00°, β = 90.42° and γ = 90.00°. The asymmetric unit holds La at (0.116, 0.250, 0.078), La at (0.370, 0.750, 0.594), Pr at (0.111, 0.250, 0.418), Pr at (0.362, 0.750, 0.905), Pr at (0.363, 0.750, 0.249) and Sn at (0.120, 0.250, 0.749).

For the relative energy among the computed polymorphs, the calculation gives 19.9 meV per atom. The calculation puts the raw total energy at -59.4 eV/cell. For the formation energy, the calculation gives -247 meV per atom.

## Eu3Ge5S12 (PBE)

Data for a geometry-optimized Eu3Ge5S12 structure.

It has space group Ia-3d (No. 230), with a = 15.494 Å, b = 15.494 Å, c = 15.494 Å, α = 90.00°, β = 90.00° and γ = 90.00°. The asymmetric unit holds Eu at (0.000, 0.250, 0.125), Ge at (0.000, 0.000, 0.000), Ge at (0.000, 0.250, 0.375) and S at (0.031, 0.058, 0.654).

The calculation puts the uncorrected formation energy at -0.84 eV/atom. The calculation puts the raw total energy at -962.4 eV/cell.

## ZnIn2W (PBE)

Data for a geometry-optimized ZnIn2W structure.

It has space group I4/mmm (No. 139), with a = 4.045 Å, b = 4.045 Å, c = 8.971 Å, α = 90.00°, β = 90.00° and γ = 90.00°. The asymmetric unit holds Zn at (0.000, 0.000, 0.000), In at (0.000, 0.500, 0.250) and W at (0.000, 0.000, 0.500).

The calculation puts the raw total energy at -36.1 eV/cell. For the formation energy, the calculation gives 419 meV per atom.

## BaHf2CrPb (PBE)

Data for a geometry-optimized BaHf2CrPb structure.

It has space group P4/mmm (No. 123), with a = 5.419 Å, b = 5.419 Å, c = 4.997 Å, α = 90.00°, β = 90.00° and γ = 90.00°. The asymmetric unit holds Ba at (0.000, 0.000, 0.000), Hf at (0.000, 0.500, 0.000), Cr at (0.000, 0.000, 0.500) and Pb at (0.500, 0.500, 0.500).

The calculation puts the raw total energy at -25.3 eV/cell. For the formation energy, the calculation gives 1972 meV per atom.

## HgAsH2F (PBE)

Data for a geometry-optimized HgAsH2F structure.

It has space group P4/mmm (No. 123), with a = 3.558 Å, b = 3.558 Å, c = 6.236 Å, α = 90.00°, β = 90.00° and γ = 90.00°. The asymmetric unit holds Hg at (0.000, 0.000, 0.000), As at (0.500, 0.500, 0.500), H at (0.000, 0.500, 0.000) and F at (0.000, 0.000, 0.500).

The calculation puts the raw total energy at -12.5 eV/cell.

## MgZrCoAu (PBE)

Data for a geometry-optimized MgZrCoAu structure.

It has space group F-43m (No. 216), with a = 6.516 Å, b = 6.516 Å, c = 6.516 Å, α = 90.00°, β = 90.00° and γ = 90.00°. The asymmetric unit holds Mg at (0.000, 0.000, 0.000), Zr at (0.000, 0.000, 0.500), Co at (0.250, 0.250, 0.250) and Au at (0.250, 0.250, 0.750).

The calculation puts the raw total energy at -86.8 eV/cell. For the formation energy, the calculation gives -291 meV per atom.

## BaBSe2Br (PBE)

Data for a geometry-optimized BaBSe2Br structure.

It has space group P4/mmm (No. 123), with a = 6.371 Å, b = 6.371 Å, c = 6.220 Å, α = 90.00°, β = 90.00° and γ = 90.00°. The asymmetric unit holds Ba at (0.000, 0.000, 0.000), B at (0.500, 0.500, 0.500), Se at (0.000, 0.500, 0.000) and Br at (0.000, 0.000, 0.500).

The calculation puts the uncorrected formation energy at 0.78 eV/atom. For the relative energy among the computed polymorphs, the calculation gives 1276.9 meV per atom. The calculation puts the raw total energy at -13.3 eV/cell.

## Na3GaHg7 (PBE)

Data for a geometry-optimized Na3GaHg7 structure.

It has space group Cmcm (No. 63), with a = 3.438 Å, b = 24.580 Å, c = 13.762 Å, α = 90.00°, β = 90.00° and γ = 90.00°. The asymmetric unit holds Na at (0.000, 0.093, 0.042), Na at (0.000, 0.238, 0.750), Ga at (0.000, 0.065, 0.750), Hg at (0.000, 0.296, 0.558), Hg at (0.000, 0.355, 0.135), Hg at (0.000, 0.385, 0.750) and Hg at (0.000, 0.495, 0.114).

The calculation puts the raw total energy at -42.1 eV/cell. For the formation energy, the calculation gives -130 meV per atom.

## Hg12As3F5 (PBE)

Data for a geometry-optimized Hg12As3F5 structure.

It has space group Ia-3d (No. 230), with a = 15.844 Å, b = 15.844 Å, c = 15.844 Å, α = 90.00°, β = 90.00° and γ = 90.00°. The asymmetric unit holds Hg at (0.030, 0.078, 0.650), As at (0.000, 0.250, 0.125), F at (0.000, 0.000, 0.000) and F at (0.000, 0.250, 0.375).

The calculation puts the uncorrected formation energy at -0.37 eV/atom. The calculation puts the raw total energy at -275.0 eV/cell.

## Ba3I (PBE)

Data for a geometry-optimized Ba3I structure.

It has space group Pmm2 (No. 25), with a = 4.269 Å, b = 4.297 Å, c = 12.390 Å, α = 90.00°, β = 90.00° and γ = 90.00°. The asymmetric unit holds Ba at (0.000, 0.000, 0.000), Ba at (0.000, 0.500, 0.310), Ba at (0.500, 0.500, 0.723) and I at (0.500, 0.000, 0.481).

The calculation puts the uncorrected formation energy at -0.52 eV/atom. For the relative energy among the computed polymorphs, the calculation gives 13.0 meV per atom. The calculation puts the raw total energy at -9.4 eV/cell.

## NdIn4Rh2 (PBE)

Data for a geometry-optimized NdIn4Rh2 structure.

It has space group Pnma (No. 62), with a = 18.532 Å, b = 4.562 Å, c = 7.178 Å, α = 90.00°, β = 90.00° and γ = 90.00°. The asymmetric unit holds Nd at (0.140, 0.250, 0.028), In at (0.034, 0.750, 0.851), In at (0.070, 0.250, 0.499), In at (0.186, 0.750, 0.325), In at (0.193, 0.750, 0.737), Rh at (0.040, 0.750, 0.245) and Rh at (0.217, 0.250, 0.534).

The calculation puts the raw total energy at -135.3 eV/cell. For the formation energy, the calculation gives -487 meV per atom.

## TcSn2OsSe (PBE)

Data for a geometry-optimized TcSn2OsSe structure.

It has space group P4/mmm (No. 123), with a = 5.142 Å, b = 5.142 Å, c = 4.815 Å, α = 90.00°, β = 90.00° and γ = 90.00°. The asymmetric unit holds Tc at (0.000, 0.000, 0.000), Sn at (0.000, 0.500, 0.500), Os at (0.000, 0.000, 0.500) and Se at (0.500, 0.500, 0.000).

The calculation puts the uncorrected formation energy at 0.82 eV/atom. The calculation puts the raw total energy at -29.0 eV/cell.

## CaSi2Ru (PBE)

Data for a geometry-optimized CaSi2Ru structure.

It has space group I4_1/amd (No. 141, origin choice 2), with a = 4.953 Å, b = 4.953 Å, c = 15.250 Å, α = 90.00°, β = 90.00° and γ = 90.00°. The asymmetric unit holds Ca at (0.000, 0.250, 0.375), Si at (0.000, 0.000, 0.000) and Ru at (0.000, 0.250, 0.875).

The calculation puts the uncorrected formation energy at -0.26 eV/atom. The calculation puts the raw total energy at -92.7 eV/cell.

## NaCu2Sb2 (PBE)

Data for a geometry-optimized NaCu2Sb2 structure.

It has space group Cmcm (No. 63), with a = 6.484 Å, b = 6.055 Å, c = 11.346 Å, α = 90.00°, β = 90.00° and γ = 90.00°. The asymmetric unit holds Na at (0.000, 0.203, 0.250), Cu at (0.203, 0.000, 0.000) and Sb at (0.000, 0.300, 0.621).

The calculation puts the uncorrected formation energy at -0.11 eV/atom. For the relative energy among the computed polymorphs, the calculation gives 0.0 meV per atom. The calculation puts the raw total energy at -73.3 eV/cell.